{
  "formula": "ScW3O",
  "functional": "PBE with a Hubbard U",
  "state": "relaxed",
  "relative_energy_mev_per_atom": 0,
  "m_tot_mub_per_cell": 3.1,
  "final_energy_ev_per_atom": -6.07,
  "sg": "Pm-3m (221)",
  "crystal_system": "cubic",
  "lattice_angstrom": [[4.319, 0.000, 0.000], [0.000, 4.319, 0.000], [0.000, 0.000, 4.319]],
  "species": ["Sc", "W", "W", "W", "O"],
  "fractional_positions": [[0.000, 0.000, 0.000], [0.000, 0.500, 0.500], [0.500, 0.000, 0.500], [0.500, 0.500, 0.000], [0.500, 0.500, 0.500]]
}